# 1
VASP calculation (PBE) on a geometry-optimized Ca2ZrAs structure.

Geometry as POSCAR:
```
Ca2ZrAs
1.0
4.2749 0.0000 0.0000
0.0000 4.2749 0.0000
0.0000 0.0000 10.7561
Ca Zr As
4 2 2
Direct
0.0000 0.5000 0.2500
0.0000 0.5000 0.7500
0.5000 0.0000 0.2500
0.5000 0.0000 0.7500
0.0000 0.0000 0.0000
0.5000 0.5000 0.5000
0.0000 0.0000 0.5000
0.5000 0.5000 0.0000
```

The density of states at the Fermi level is 6.7 states/eV per cell. As for the symmetry: No. 139. The calculation puts the formation enthalpy at 0 K at -0.139 eV per atom. The value obtained for the total magnetization is 0.000 μB/atom.



# 2
VASP calculation (PBE) on a geometry-optimized CaZr2As2 structure.

Geometry as POSCAR:
```
CaZr2As2
1.0
4.2885 0.0000 0.0000
0.0000 4.2885 0.0000
0.0000 0.0000 12.4620
Ca Zr As
2 4 4
Direct
0.0000 0.0000 0.0000
0.5000 0.5000 0.5000
0.0000 0.5000 0.2500
0.0000 0.5000 0.7500
0.5000 0.0000 0.2500
0.5000 0.0000 0.7500
0.0000 0.0000 0.3908
0.0000 0.0000 0.6092
0.5000 0.5000 0.1092
0.5000 0.5000 0.8908
```

The density of states at the Fermi level is 7.5 states/eV per cell. As for the symmetry: No. 139. The calculation puts the formation enthalpy at 0 K at -0.842 eV per atom. As for the distance to the lowest polymorph of the same formula: 40 meV/atom. The value obtained for the total magnetization is 0.000 μB/atom.



# 3
VASP calculation (PBE) on a geometry-optimized Ca2ZrAs2 structure.

Geometry as POSCAR:
```
Ca2ZrAs2
1.0
7.5311 0.0000 0.0000
0.0000 7.5311 0.0000
0.0000 0.0000 4.1983
Ca Zr As
4 2 4
Direct
0.1500 0.3500 0.0000
0.3500 0.8500 0.0000
0.6500 0.1500 0.0000
0.8500 0.6500 0.0000
0.0000 0.0000 0.5000
0.5000 0.5000 0.5000
0.1627 0.6627 0.5000
0.3373 0.1627 0.5000
0.6627 0.8373 0.5000
0.8373 0.3373 0.5000
```

The density of states at the Fermi level is 1.5 states/eV per cell. As for the symmetry: No. 127. The calculation puts the formation enthalpy at 0 K at -0.931 eV per atom. The value obtained for the total magnetization is 0.000 μB/atom.



# 4
VASP calculation (PBE) on a geometry-optimized CaZr2As structure.

Geometry as POSCAR:
```
CaZr2As
1.0
12.9809 0.0000 0.0000
0.0000 3.5978 0.0000
-6.0732 0.0000 8.3753
Ca Zr As
4 8 4
Direct
0.0000 0.0000 0.0000
0.2348 0.0000 0.9387
0.5000 0.5000 0.0000
0.7348 0.5000 0.9387
0.1140 0.5000 0.5676
0.2130 0.0000 0.3900
0.3799 0.5000 0.3016
0.4328 0.5000 0.6286
0.6140 0.0000 0.5676
0.7130 0.5000 0.3900
0.8799 0.0000 0.3016
0.9328 0.0000 0.6286
0.0102 0.5000 0.2390
0.3178 0.0000 0.7206
0.5102 0.0000 0.2390
0.8178 0.5000 0.7206
```

The density of states at the Fermi level is 12.7 states/eV per cell. As for the symmetry: No. 8. The calculation puts the formation enthalpy at 0 K at -0.530 eV per atom. The value obtained for the total magnetization is 0.000 μB/atom.



Among the records above, which one has the lowest formation enthalpy at 0 K? Ca2ZrAs2